[1]
Material: ZrCd2Ni2
Method: DFT, PBE
State: optimized geometry

Cell and atoms, written as extended XYZ:
```
5
Lattice="-1.896 1.896 6.252 1.896 -1.896 6.252 1.896 1.896 -6.252" Properties=species:S:1:pos:R:3 pbc="T T T"
Zr 0.000 0.000 0.000
Cd 0.000 0.000 4.852
Cd 0.000 0.000 7.652
Ni 1.896 0.000 3.126
Ni 0.000 1.896 3.126
```

Computed properties:
For the total magnetization, the calculation gives 0.000 μB per atom. The value obtained for the formation energy is 251.5 meV per atom. As for the space group: No. 139.

[2]
Material: ZrCdNi
Method: DFT, PBE
State: optimized geometry

Cell and atoms, written as extended XYZ:
```
18
Lattice="7.298 0.000 0.000 0.000 3.409 0.000 -0.553 0.000 13.038" Properties=species:S:1:pos:R:3 pbc="T T T"
Zr 0.043 0.852 5.025
Zr 0.998 0.852 1.119
Zr 2.963 2.557 9.215
Zr 3.782 0.852 3.823
Zr 5.747 2.557 11.920
Zr 6.702 2.557 8.013
Cd 0.505 0.852 10.292
Cd 2.373 2.557 5.942
Cd 3.149 0.852 11.800
Cd 3.596 2.557 1.238
Cd 4.372 0.852 7.096
Cd 6.240 2.557 2.746
Ni 1.066 2.557 12.281
Ni 1.366 0.852 7.718
Ni 1.696 2.557 3.319
Ni 5.049 0.852 9.719
Ni 5.379 2.557 5.321
Ni 5.679 0.852 0.757
```

Computed properties:
For the total magnetization, the calculation gives 0.000 μB per atom. The value obtained for the formation energy is -237.5 meV per atom. As for the space group: No. 11.

[3]
Material: ZrCdNi2
Method: DFT, PBE
State: optimized geometry

Cell and atoms, written as extended XYZ:
```
4
Lattice="3.209 0.000 0.000 0.000 3.209 0.000 0.000 0.000 6.378" Properties=species:S:1:pos:R:3 pbc="T T T"
Zr 0.000 0.000 0.000
Cd 1.605 1.605 2.273
Ni 0.000 0.000 3.804
Ni 1.605 1.605 5.007
```

Computed properties:
For the total magnetization, the calculation gives 0.000 μB per atom. The value obtained for the formation energy is -99.6 meV per atom. As for the space group: No. 99.

[4]
Material: ZrCdNi2
Method: DFT, PBE
State: optimized geometry

Cell and atoms, written as extended XYZ:
```
4
Lattice="3.210 0.000 0.000 0.000 3.240 0.000 -0.013 0.000 6.248" Properties=species:S:1:pos:R:3 pbc="T T T"
Zr 0.000 0.000 0.000
Cd -0.007 0.000 3.124
Ni 1.591 1.620 4.797
Ni 1.605 1.620 1.451
```

Computed properties:
For the total magnetization, the calculation gives 0.000 μB per atom. The value obtained for the formation energy is -225.8 meV per atom. As for the space group: No. 10.

[5]
Material: ZrCdNi2
Method: DFT, PBE
State: optimized geometry

Cell and atoms, written as extended XYZ:
```
4
Lattice="3.951 0.000 0.000 0.000 1.727 4.813 0.000 -1.727 4.813" Properties=species:S:1:pos:R:3 pbc="T T T"
Zr 0.000 0.000 0.000
Cd 1.976 0.000 6.793
Ni 0.000 0.000 2.749
Ni 1.976 0.000 4.134
```

Computed properties:
For the total magnetization, the calculation gives 0.000 μB per atom. The value obtained for the formation energy is -207.2 meV per atom. As for the space group: No. 38.

[6]
Material: ZrCdNi
Method: DFT, PBE
State: optimized geometry

Cell and atoms, written as extended XYZ:
```
3
Lattice="0.000 3.204 3.204 3.204 0.000 3.204 3.204 3.204 0.000" Properties=species:S:1:pos:R:3 pbc="T T T"
Zr 0.000 0.000 0.000
Cd 4.806 4.806 4.806
Ni 1.602 1.602 1.602
```

Computed properties:
For the total magnetization, the calculation gives 0.000 μB per atom. The value obtained for the formation energy is 500.8 meV per atom. As for the space group: No. 216.

[7]
Material: ZrCdNi2
Method: DFT, PBE
State: optimized geometry

Cell and atoms, written as extended XYZ:
```
4
Lattice="0.000 3.181 3.181 3.181 0.000 3.181 3.181 3.181 0.000" Properties=species:S:1:pos:R:3 pbc="T T T"
Zr 0.000 0.000 0.000
Cd 4.772 4.772 4.772
Ni 1.591 1.591 1.591
Ni 3.181 3.181 3.181
```

Computed properties:
For the total magnetization, the calculation gives 0.000 μB per atom. The value obtained for the formation energy is 33.1 meV per atom. As for the space group: No. 216.

[8]
Material: Zr2CdNi2
Method: DFT, PBE
State: optimized geometry

Cell and atoms, written as extended XYZ:
```
5
Lattice="-1.674 1.674 8.344 1.674 -1.674 8.344 1.674 1.674 -8.344" Properties=species:S:1:pos:R:3 pbc="T T T"
Zr 0.000 0.000 2.121
Zr 0.000 0.000 14.567
Cd 0.000 0.000 8.344
Ni 1.674 0.000 4.172
Ni 0.000 1.674 4.172
```

Computed properties:
For the total magnetization, the calculation gives 0.000 μB per atom. The value obtained for the formation energy is -90.3 meV per atom. As for the space group: No. 139.